# 1
AsPtCl2: optimized geometry, PBE-GGA.

Values from the calculation:
Formation energy (no corrections) = 20.4 kJ per mole of atoms
Calculated density = 7.34 g cm⁻³

Unit cell a=3.1652 b=3.1652 c=26.6714 alpha=90.00 beta=90.00 gamma=120.00
Space group R-3m (No. 166, hexagonal axes)
Asymmetric unit:
As: 0.0000 0.0000 0.0000 [3 per cell]
Pt: 0.0000 0.0000 0.5000 [3 per cell]
Cl: 0.0000 0.0000 0.4142 [6 per cell]

# 2
AsPtCl4: optimized geometry, PBE-GGA.

Values from the calculation:
Formation energy (no corrections) = 115.3 kJ per mole of atoms
Calculated density = 5.45 g cm⁻³

Unit cell a=7.9457 b=7.9457 c=7.9457 alpha=90.00 beta=90.00 gamma=90.00
Space group F-43m (No. 216)
Asymmetric unit:
As: 0.0000 0.0000 0.0000 [4 per cell]
Pt: 0.2500 0.2500 0.2500 [4 per cell]
Cl: 0.1239 0.1239 0.6239 [16 per cell]

# 3
AsPt2Cl: optimized geometry, PBE-GGA.

Values from the calculation:
Formation energy (no corrections) = 5.1 kJ per mole of atoms
Calculated density = 9.84 g cm⁻³

Unit cell a=6.4193 b=6.4193 c=8.2010 alpha=90.00 beta=90.00 gamma=90.00
Space group I-42d (No. 122)
Asymmetric unit:
As: 0.0000 0.0000 0.0000 [4 per cell]
Pt: 0.2178 0.2500 0.1250 [8 per cell]
Cl: 0.0000 0.0000 0.5000 [4 per cell]

# 4
AsPtCl2: optimized geometry, PBE-GGA.

Values from the calculation:
Formation energy (no corrections) = 9.7 kJ per mole of atoms
Calculated density = 5.85 g cm⁻³

Unit cell a=3.3190 b=3.9847 c=14.6421 alpha=90.00 beta=90.00 gamma=90.00
Space group Immm (No. 71)
Asymmetric unit:
As: 0.0000 0.0000 0.0000 [2 per cell]
Pt: 0.0000 0.0000 0.5000 [2 per cell]
Cl: 0.0000 0.5000 0.3510 [4 per cell]

# 5
AsPtCl2: optimized geometry, PBE-GGA.

Values from the calculation:
Formation energy (no corrections) = -4.7 kJ per mole of atoms
Calculated density = 5.25 g cm⁻³

Unit cell a=3.5278 b=6.9028 c=8.8524 alpha=90.00 beta=90.00 gamma=90.00
Space group Cmm2 (No. 35)
Asymmetric unit:
As: 0.0000 0.0000 0.0000 [2 per cell]
Pt: 0.0000 0.5000 0.1737 [2 per cell]
Cl: 0.0000 0.0000 0.3669 [2 per cell]
Cl: 0.0000 0.5000 0.7641 [2 per cell]

# 6
AsPtCl2: optimized geometry, PBE-GGA.

Values from the calculation:
Formation energy (no corrections) = 23.7 kJ per mole of atoms
Calculated density = 7.37 g cm⁻³

Unit cell a=5.8392 b=6.2858 c=8.3686 alpha=90.00 beta=90.00 gamma=90.00
Space group Fmmm (No. 69)
Asymmetric unit:
As: 0.0000 0.0000 0.0000 [4 per cell]
Pt: 0.0000 0.0000 0.5000 [4 per cell]
Cl: 0.0000 0.2500 0.2500 [8 per cell]